! AlTlW3 | the Alexandria database | GGA-PBE | optimized geometry; values from VASP
&SYSTEM
  ibrav = 0, nat = 5, ntyp = 3
/
ATOMIC_SPECIES
W 183.84 W.upf
Tl 204.38 Tl.upf
Al 26.98 Al.upf
ATOMIC_POSITIONS crystal
W 0.000 0.000 0.500
W 0.500 0.000 0.000
W 0.000 0.500 0.000
Tl 0.000 0.000 0.000
Al 0.500 0.500 0.500
CELL_PARAMETERS angstrom
4.940 0.000 0.000
0.000 4.940 0.000
0.000 0.000 4.940
! Calculated total energy = -5.852 eV/atom
! Mass density = 10.8 g/cm³
! ΔH_f (0 K) = 15.71 eV per formula unit
! Excess energy over the best structure of this formula in the dataset = 1255 meV per atom
! DOS at the Fermi energy = 1.226 states/eV per atom

! BeCrCoPd2 | the Alexandria database | GGA-PBE | optimized geometry; values from VASP
&SYSTEM
  ibrav = 0, nat = 5, ntyp = 4
/
ATOMIC_SPECIES
Pd 106.42 Pd.upf
Co 58.93 Co.upf
Cr 52.00 Cr.upf
Be 9.01 Be.upf
ATOMIC_POSITIONS crystal
Pd 0.000 0.000 0.500
Pd 0.500 0.000 0.000
Co 0.000 0.500 0.000
Cr 0.500 0.500 0.500
Be 0.000 0.000 0.000
CELL_PARAMETERS angstrom
-3.375 1.473 -1.836
-2.105 -0.762 3.259
0.860 3.759 1.435
! Calculated total energy = -5.626 eV/atom
! Mass density = 8.3 g/cm³
! ΔH_f (0 K) = 2.71 eV per formula unit
! DOS at the Fermi energy = 1.257 states/eV per atom

! RePtAu2 | the Alexandria database | GGA-PBE | optimized geometry; values from VASP
&SYSTEM
  ibrav = 0, nat = 8, ntyp = 3
/
ATOMIC_SPECIES
Au 196.97 Au.upf
Pt 195.08 Pt.upf
Re 186.21 Re.upf
ATOMIC_POSITIONS crystal
Au 0.375 0.382 0.750
Au 0.875 0.868 0.750
Au 0.132 0.625 0.250
Au 0.618 0.125 0.250
Pt 0.750 0.250 0.500
Pt 0.000 0.000 0.000
Re 0.250 0.750 0.500
Re 0.500 0.500 0.000
CELL_PARAMETERS angstrom
7.420 0.000 0.000
0.000 7.420 0.000
3.710 3.710 2.670
! Calculated total energy = -5.365 eV/atom
! Mass density = 17.5 g/cm³
! ΔH_f (0 K) = 3.58 eV per formula unit
! Excess energy over the best structure of this formula in the dataset = 776 meV per atom
! DOS at the Fermi energy = 1.205 states/eV per atom